Compound: V2CoGeH
Source: Alexandria
Functional: GGA-PBE
Structure: optimized geometry

```
5
Lattice="3.6974 0.0000 0.0000 0.0000 3.6974 0.0000 0.0000 0.0000 3.8563" Properties=species:S:1:pos:R:3 pbc="T T T"
V 0.0000 1.8487 0.0000
V 1.8487 0.0000 0.0000
Co 0.0000 0.0000 1.9282
Ge 1.8487 1.8487 1.9282
H 0.0000 0.0000 0.0000
```

Computed properties:
DFT total energy: -6.89 eV per atom
magnetic moment: 0.0 μB per cell